1.
The following is a DFT calculation (PBE) of a relaxed structure of Nd2ErTm4Mg.

a b c (Å): 4.9362 4.9502 10.0607
angles (deg): 90.00 90.00 90.00
Space group Pmmm (No. 47)
Asymmetric unit:
Nd  0.0000  0.0000  0.0000
Nd  0.5000  0.5000  0.5000
Er  0.0000  0.0000  0.5000
Tm  0.0000  0.5000  0.2501
Tm  0.5000  0.0000  0.2505
Mg  0.5000  0.5000  0.0000

2.
The following is a DFT calculation (PBE) of a relaxed structure of Nd6Er3Tm2Mg.

a b c (Å): 6.2151 10.7675 11.7085
angles (deg): 90.00 100.22 90.00
Space group C2/m (No. 12)
Asymmetric unit:
Nd  0.2493  0.0000  0.2493
Nd  0.2491  0.3334  0.2482
Er  0.0000  0.0000  0.5000
Er  0.0000  0.3333  0.5000
Tm  0.0000  0.1665  0.0000
Mg  0.0000  0.5000  0.0000

3.
The following is a DFT calculation (PBE) of a relaxed structure of NdErTmMg.

The energy relative to the lowest polymorph listed for this composition comes out at 53 meV/atom.

a b c (Å): 7.8023 7.8023 7.8023
angles (deg): 90.00 90.00 90.00
Space group F-43m (No. 216)
Asymmetric unit:
Nd  0.0000  0.0000  0.0000
Er  0.0000  0.0000  0.5000
Tm  0.2500  0.2500  0.7500
Mg  0.2500  0.2500  0.2500

4.
The following is a DFT calculation (PBE) of a relaxed structure of Nd3Er2Tm6Mg.

a b c (Å): 6.1147 10.6005 11.6217
angles (deg): 90.00 100.19 90.00
Space group C2/m (No. 12)
Asymmetric unit:
Nd  0.0000  0.0000  0.0000
Nd  0.0000  0.3346  0.0000
Er  0.0000  0.1663  0.5000
Tm  0.2474  0.0000  0.7447
Tm  0.2468  0.3336  0.7443
Mg  0.0000  0.5000  0.5000

5.
The following is a DFT calculation (PBE) of a relaxed structure of NdErTmMg.

The energy relative to the lowest polymorph listed for this composition comes out at 0 meV/atom.

a b c (Å): 3.5731 3.5731 9.3789
angles (deg): 90.00 90.00 90.00
Space group P4mm (No. 99)
Asymmetric unit:
Nd  0.0000  0.0000  0.0000
Er  0.5000  0.5000  0.7295
Tm  0.0000  0.0000  0.4742
Mg  0.5000  0.5000  0.2466

6.
The following is a DFT calculation (PBE) of a relaxed structure of Nd4ErTm2Mg.

a b c (Å): 5.0844 5.0844 9.8353
angles (deg): 90.00 90.00 90.00
Space group P4/mmm (No. 123)
Asymmetric unit:
Nd  0.0000  0.5000  0.2457
Er  0.0000  0.0000  0.5000
Tm  0.0000  0.0000  0.0000
Tm  0.5000  0.5000  0.5000
Mg  0.5000  0.5000  0.0000

7.
The following is a DFT calculation (PBE) of a relaxed structure of Nd4Er2TmMg.

a b c (Å): 5.0822 5.0822 9.8615
angles (deg): 90.00 90.00 90.00
Space group P4/mmm (No. 123)
Asymmetric unit:
Nd  0.0000  0.5000  0.2464
Er  0.0000  0.0000  0.0000
Er  0.5000  0.5000  0.5000
Tm  0.0000  0.0000  0.5000
Mg  0.5000  0.5000  0.0000

8.
The following is a DFT calculation (PBE) of a relaxed structure of Nd6Er2Tm3Mg.

a b c (Å): 6.2072 10.7559 11.7078
angles (deg): 90.00 100.21 90.00
Space group C2/m (No. 12)
Asymmetric unit:
Nd  0.2494  0.1665  0.2494
Nd  0.2501  0.0000  0.7496
Er  0.0000  0.3334  0.0000
Tm  0.0000  0.1667  0.5000
Tm  0.0000  0.5000  0.5000
Mg  0.0000  0.0000  0.0000

9.
The following is a DFT calculation (PBE) of a relaxed structure of Nd6Y3Er2Mg.

a b c (Å): 6.2514 10.8290 11.7830
angles (deg): 90.00 100.20 90.00
Space group C2/m (No. 12)
Asymmetric unit:
Nd  0.2482  0.1665  0.2467
Nd  0.2487  0.5000  0.2476
Y  0.0000  0.1665  0.5000
Y  0.0000  0.5000  0.5000
Er  0.0000  0.3334  0.0000
Mg  0.0000  0.0000  0.0000

10.
The following is a DFT calculation (PBE) of a relaxed structure of NdY2Er2Mg5.

a b c (Å): 10.6411 10.6411 5.1026
angles (deg): 90.00 90.00 90.00
Space group P4/mbm (No. 127)
Asymmetric unit:
Nd  0.0000  0.0000  0.0000
Y  0.1784  0.3216  0.0000
Er  0.1177  0.6177  0.0000
Mg  0.0000  0.5000  0.5000
Mg  0.0745  0.8017  0.5000

11.
The following is a DFT calculation (PBE) of a relaxed structure of NdY4Er2Mg.

a b c (Å): 5.7874 5.7874 7.4789
angles (deg): 90.00 90.00 90.00
Space group P4/mmm (No. 123)
Asymmetric unit:
Nd  0.0000  0.0000  0.0000
Y  0.0000  0.5000  0.2474
Er  0.0000  0.0000  0.5000
Er  0.5000  0.5000  0.5000
Mg  0.5000  0.5000  0.0000

12.
The following is a DFT calculation (PBE) of a relaxed structure of Er6MgNi2.

a b c (Å): 9.2270 9.5472 10.1243
angles (deg): 90.00 90.00 90.00
Space group Immm (No. 71)
Asymmetric unit:
Er  0.0000  0.2013  0.2346
Er  0.1919  0.5000  0.1798
Er  0.2099  0.3159  0.5000
Mg  0.0000  0.0000  0.0000
Mg  0.0000  0.0000  0.5000
Ni  0.0000  0.3444  0.0000
Ni  0.0000  0.5000  0.3795

13.
The following is a DFT calculation (PBE) of a relaxed structure of ErMg8Ni2.

a b c (Å): 7.9591 11.9322 5.1391
angles (deg): 90.00 104.30 90.00
Space group C2/m (No. 12)
Asymmetric unit:
Er  0.0000  0.0000  0.0000
Mg  0.0000  0.2677  0.0000
Mg  0.0859  0.5000  0.7765
Mg  0.1994  0.1309  0.5764
Ni  0.0000  0.3086  0.5000

14.
The following is a DFT calculation (PBE) of a relaxed structure of ErMgNi17.

a b c (Å): 8.2142 8.2142 12.0169
angles (deg): 90.00 90.00 120.00
Space group R3m (No. 160, hexagonal axes)
Asymmetric unit:
Er  0.0000  0.0000  0.0000
Mg  0.0000  0.0000  0.3195
Ni  0.0000  0.0000  0.5587
Ni  0.0000  0.0000  0.7579
Ni  0.0375  0.3698  0.3264
Ni  0.1680  0.3360  0.4935
Ni  0.1684  0.3367  0.1458
Ni  0.1694  0.3388  0.8399

15.
The following is a DFT calculation (PBE) of a relaxed structure of Er3MgNi8.

a b c (Å): 4.9824 4.9824 24.4787
angles (deg): 90.00 90.00 120.00
Space group R3m (No. 160, hexagonal axes)
Asymmetric unit:
Er  0.0000  0.0000  0.0000
Er  0.0000  0.0000  0.1276
Er  0.0000  0.0000  0.6182
Mg  0.0000  0.0000  0.4961
Ni  0.0000  0.0000  0.3110
Ni  0.0000  0.0000  0.8113
Ni  0.0013  0.5007  0.0614
Ni  0.0022  0.5011  0.5605

16.
The following is a DFT calculation (PBE) of a relaxed structure of Er2MgNi.

a b c (Å): 4.9189 4.9189 3.6495
angles (deg): 90.00 90.00 90.00
Space group P4/mmm (No. 123)
Asymmetric unit:
Er  0.0000  0.5000  0.0000
Mg  0.0000  0.0000  0.5000
Ni  0.5000  0.5000  0.5000

17.
The following is a DFT calculation (PBE) of a relaxed structure of Er6Mg3Ni.

a b c (Å): 9.3138 11.1681 5.1020
angles (deg): 90.00 90.00 90.00
Space group Pnnm (No. 58)
Asymmetric unit:
Er  0.0240  0.2299  0.0000
Er  0.1557  0.0716  0.5000
Er  0.2007  0.3977  0.5000
Mg  0.0000  0.5000  0.0000
Mg  0.1460  0.7079  0.5000
Ni  0.0000  0.0000  0.0000

18.
The following is a DFT calculation (PBE) of a relaxed structure of ErMg3Ni.

a b c (Å): 5.2501 5.7575 7.2279
angles (deg): 90.00 105.20 90.00
Space group P2_1/m (No. 11)
Asymmetric unit:
Er  0.1144  0.2500  0.4057
Mg  0.0086  0.2500  0.8980
Mg  0.4765  0.5024  0.7893
Ni  0.3294  0.7500  0.4648

19.
The following is a DFT calculation (PBE) of a relaxed structure of ErMgNi10.

a b c (Å): 3.9788 4.7861 8.2773
angles (deg): 90.00 90.00 90.00
Space group Pmmm (No. 47)
Asymmetric unit:
Er  0.0000  0.0000  0.0000
Mg  0.0000  0.5000  0.5000
Ni  0.0000  0.0000  0.3393
Ni  0.0000  0.5000  0.1748
Ni  0.5000  0.0000  0.5000
Ni  0.5000  0.2499  0.2515
Ni  0.5000  0.5000  0.0000

20.
The following is a DFT calculation (PBE) of a relaxed structure of ErMgNi.

a b c (Å): 12.5670 3.8739 7.4268
angles (deg): 90.00 90.00 90.00
Space group Pmma (No. 51)
Asymmetric unit:
Er  0.0449  0.0000  0.2183
Er  0.2500  0.0000  0.8506
Mg  0.1254  0.5000  0.5639
Mg  0.2500  0.5000  0.1980
Ni  0.0920  0.5000  0.9397
Ni  0.2500  0.0000  0.4354

Calculated DFT total energy, -33.289 -105.049 -61.085 -102.781 -15.485 -34.116 -34.204 -104.894 -116.897 -68.097 -40.586 -170.814 -57.509 -318.714 -200.782 -17.066 -76.637 -32.074 -66.079 -77.534 eV per cell (same order as the records).
Calculated energy of formation, 0.036 0.026 0.031 0.039 -0.022 0.007 0.007 0.025 0.023 0.075 0.095 -0.241 0.012 -0.095 -0.449 -0.141 -0.038 -0.182 -0.176 -0.328 eV/atom (same order as the records).
Calculated calculated volume, 245.8 771.1 475.0 741.4 119.7 254.3 254.7 769.3 785.0 577.8 250.5 891.9 472.9 702.2 526.3 88.3 530.7 210.8 157.6 361.6 Å³ per cell (same order as the records).